Computed, not measured: crystalline LaHg2Mo at its relaxed geometry at the PBE level of DFT.

The structure in extended XYZ format:
```
4
Lattice="1.5747 0.9091 10.7581 -1.5747 0.9091 10.7581 0.0000 -1.8183 10.7581" Properties=species:S:1:pos:R:3 pbc="T T T"
La 0.0000 0.0000 0.0000
Hg 0.0000 0.0000 16.4798
Hg 0.0000 0.0000 24.4841
Mo 0.0000 0.0000 8.0369
```

Values from the calculation:
SG: R3m, No. 160
E above lowest polymorph: 5.66 kcal/mol of atoms
mass density: 11.429 g cm⁻³
calculated formation energy: 488 meV per atom
VASP energy: -14.4 eV per cell

=====

Computed, not measured: crystalline Na3Tl3Pd2 at its relaxed geometry at the PBE level of DFT.

The structure in extended XYZ format:
```
16
Lattice="2.3668 -5.5138 0.0000 2.3668 5.5138 0.0000 0.0000 0.0000 15.7837" Properties=species:S:1:pos:R:3 pbc="T T T"
Na 2.3668 4.7551 9.5962
Na 2.3668 4.7551 14.0794
Na 2.3668 1.6364 11.8378
Na 2.3668 -1.6364 3.9459
Na 2.3668 -4.7551 1.7043
Na 2.3668 -4.7551 6.1875
Tl 2.3668 1.5554 3.9459
Tl 2.3668 1.4937 8.4851
Tl 2.3668 1.4937 15.1905
Tl 2.3668 -1.4937 0.5932
Tl 2.3668 -1.4937 7.2986
Tl 2.3668 -1.5554 11.8378
Pd 2.3668 3.1247 1.7350
Pd 2.3668 3.1247 6.1569
Pd 2.3668 -3.1247 9.6268
Pd 2.3668 -3.1247 14.0487
```

Values from the calculation:
SG: Cmcm, No. 63
mass density: 7.215 g cm⁻³
calculated formation energy: -164 meV per atom
VASP energy: -45.5 eV per cell

=====

Computed, not measured: crystalline Tl2SbSe at its relaxed geometry at the PBE level of DFT.

The structure in extended XYZ format:
```
4
Lattice="0.0000 3.8306 3.8306 3.8306 0.0000 3.8306 3.8306 3.8306 0.0000" Properties=species:S:1:pos:R:3 pbc="T T T"
Tl 1.9153 1.9153 1.9153
Tl 5.7458 5.7458 5.7458
Sb 0.0000 0.0000 0.0000
Se 3.8306 3.8306 3.8306
```

Values from the calculation:
SG: Fm-3m, No. 225
E above lowest polymorph: 3.70 kcal/mol of atoms
mass density: 9.003 g cm⁻³
raw formation energy: 63 meV/atom
VASP energy: -12.1 eV per cell

=====

Computed, not measured: crystalline Pr3As at its relaxed geometry at the PBE level of DFT.

The structure in extended XYZ format:
```
4
Lattice="-1.9718 4.8210 3.2923 1.9718 -4.8210 3.2923 1.9718 4.8210 -3.2923" Properties=species:S:1:pos:R:3 pbc="T T T"
Pr 0.0000 0.0000 0.0000
Pr 1.9718 2.9719 0.4414
Pr 0.0000 1.8491 3.7336
As 1.9718 0.0000 2.1994
```

Values from the calculation:
SG: Imm2, No. 44
E above lowest polymorph: 0.00 kcal/mol of atoms
mass density: 6.601 g cm⁻³
calculated formation energy: -587 meV per atom
VASP energy: -21.3 eV per cell

=====

Computed, not measured: crystalline Sm3Ge5S12 at its relaxed geometry at the PBE level of DFT.

The structure in extended XYZ format:
```
80
Lattice="-7.7210 7.7210 7.7210 7.7210 -7.7210 7.7210 7.7210 7.7210 -7.7210" Properties=species:S:1:pos:R:3 pbc="T T T"
Sm 3.8605 1.9302 0.0000
Sm 7.7210 3.8605 -1.9302
Sm 1.9302 0.0000 3.8605
Sm 9.6512 0.0000 3.8605
Sm 0.0000 3.8605 1.9302
Sm 3.8605 -1.9302 7.7210
Sm 3.8605 9.6512 0.0000
Sm 7.7210 3.8605 5.7907
Sm -1.9302 7.7210 3.8605
Sm 5.7907 7.7210 3.8605
Sm 0.0000 3.8605 9.6512
Sm 3.8605 5.7907 7.7210
Ge 0.0000 0.0000 0.0000
Ge 3.8605 3.8605 -3.8605
Ge 3.8605 -3.8605 3.8605
Ge 7.7210 0.0000 0.0000
Ge 11.5814 1.9302 0.0000
Ge 7.7210 -3.8605 5.7907
Ge 5.7907 7.7210 -3.8605
Ge 5.7907 0.0000 3.8605
Ge 3.8605 5.7907 0.0000
Ge 7.7210 3.8605 1.9302
Ge -3.8605 3.8605 3.8605
Ge 0.0000 7.7210 0.0000
Ge 0.0000 0.0000 7.7210
Ge 3.8605 3.8605 3.8605
Ge 0.0000 3.8605 5.7907
Ge 3.8605 1.9302 7.7210
Ge 1.9302 7.7210 3.8605
Ge 1.9302 0.0000 11.5814
Ge 0.0000 11.5814 1.9302
Ge -3.8605 5.7907 7.7210
S 2.4138 -0.4383 0.9422
S 9.1677 4.8027 -4.2988
S 10.1347 0.4383 0.9422
S 9.1677 -2.9183 4.2988
S 7.2826 -0.9422 2.4138
S 12.0198 -1.4467 2.9183
S 0.9422 2.4138 -0.4383
S 10.6393 3.4222 -1.4467
S 4.8027 4.2988 -1.4467
S 6.7788 2.4138 0.4383
S -0.4383 0.9422 2.4138
S 4.2988 -1.4467 4.8027
S 7.2826 6.7788 -2.4138
S 4.2988 1.4467 2.9183
S 4.8027 -4.2988 9.1677
S 6.7788 -2.4138 7.2826
S 2.9183 4.2988 1.4467
S 8.6631 5.3072 0.4383
S 4.2988 9.1677 -2.9183
S 7.2826 0.9422 5.3072
S 2.4138 7.2826 -0.9422
S 9.1677 2.9183 3.4222
S 1.4467 2.9183 4.2988
S 2.4138 0.4383 6.7788
S 5.3072 7.2826 0.9422
S 6.2742 4.8027 3.4222
S -1.4467 4.8027 4.2988
S 5.3072 0.4383 8.6631
S 0.4383 6.7788 2.4138
S 3.4222 -1.4467 10.6393
S -0.9422 2.4138 7.2826
S 4.8027 3.4222 6.2742
S 0.9422 10.1347 0.4383
S 2.9183 12.0198 -1.4467
S 3.4222 6.2742 4.8027
S 0.4383 0.9422 10.1347
S 3.4222 9.1677 2.9183
S 8.1593 6.7788 5.3072
S 0.9422 5.3072 7.2826
S 2.9183 3.4222 9.1677
S -2.9183 4.2988 9.1677
S 6.7788 5.3072 8.1593
S -4.2988 9.1677 4.8027
S 0.4383 8.6631 5.3072
S -1.4467 10.6393 3.4222
S -2.4138 7.2826 6.7788
S -1.4467 2.9183 12.0198
S 5.3072 8.1593 6.7788
```

Values from the calculation:
SG: Ia-3d, No. 230
mass density: 4.326 g cm⁻³
raw formation energy: -908 meV/atom
VASP energy: -419.7 eV per cell

=====

Computed, not measured: crystalline ZrSi2Ag at its relaxed geometry at the PBE level of DFT.

The structure in extended XYZ format:
```
4
Lattice="4.2011 0.0000 0.0000 0.0000 4.2011 0.0000 0.0000 0.0000 3.8215" Properties=species:S:1:pos:R:3 pbc="T T T"
Zr 0.0000 0.0000 0.0000
Si 0.0000 2.1006 1.9107
Si 2.1006 0.0000 1.9107
Ag 2.1006 2.1006 0.0000
```

Values from the calculation:
SG: P4/mmm, No. 123
mass density: 6.285 g cm⁻³
raw formation energy: -219 meV/atom
VASP energy: -23.1 eV per cell